Computed, not measured: a relaxed structure of CsDyPu at the GGA-PBE level of DFT.

a b c (Å): 5.538 5.538 5.538
angles (deg): 60.00 60.00 60.00
Sites, in units of the cell vectors:
Cs 0.000 0.000 0.000
Dy 0.750 0.750 0.750
Pu 0.250 0.250 0.250

Output
- Total magnetization: 6.6 μB/f.u.
- Raw total energy: -5.14 eV per atom
- Calculated volume: 40.03 Å³ per atom